[1]
This record from Alexandria describes a crystal of Zr2ScHg relaxed with PBEsol. The functional is SCAN.

As for the theoretical density: 8.50 Mg/m³. The crystal system is tetragonal. The value obtained for the total energy is -1.33165 hartree per atom. For the energy of formation from the pure elements, the calculation gives -1.1 eV/f.u.

Unit cell a=5.546 b=5.546 c=5.546 alpha=135.15 beta=135.15 gamma=65.30
Atoms (fractional coordinates):
Zr1 0.250 0.750 0.500
Zr2 0.750 0.250 0.500
Sc1 0.000 0.000 0.000
Hg1 0.500 0.500 0.000


[2]
This record from Alexandria describes a crystal of HgSe3 relaxed with PBEsol. The functional is SCAN.

As for the theoretical density: 7.06 Mg/m³. The crystal system is tetragonal. The value obtained for the total energy is -1.17380 hartree per atom. Its formation energy (no corrections) is 160 meV/atom.

Unit cell a=3.725 b=3.725 c=7.409 alpha=90.00 beta=90.00 gamma=90.00
Atoms (fractional coordinates):
Hg1 0.000 0.000 0.000
Se1 0.000 0.500 0.461
Se2 0.500 0.000 0.461
Se3 0.500 0.500 0.952


[3]
This record from Alexandria describes a crystal of HgSe3 relaxed with PBEsol. The functional is SCAN.

As for the theoretical density: 8.85 Mg/m³. The crystal system is cubic. The value obtained for the total energy is -1.15846 hartree per atom. Its formation energy (no corrections) is 577 meV/atom.

Unit cell a=4.878 b=4.878 c=4.878 alpha=60.00 beta=60.00 gamma=60.00
Atoms (fractional coordinates):
Hg1 0.000 0.000 0.000
Se1 0.250 0.250 0.250
Se2 0.500 0.500 0.500
Se3 0.750 0.750 0.750


[4]
This record from Alexandria describes a crystal of HgSe3 relaxed with PBEsol. The functional is SCAN.

As for the theoretical density: 8.85 Mg/m³. The crystal system is tetragonal. The value obtained for the total energy is -1.15931 hartree per atom. Its formation energy (no corrections) is 554 meV/atom.

Unit cell a=4.928 b=4.928 c=3.379 alpha=90.00 beta=90.00 gamma=90.00
Atoms (fractional coordinates):
Hg1 0.000 0.000 0.000
Se1 0.000 0.500 0.500
Se2 0.500 0.000 0.500
Se3 0.500 0.500 0.000


[5]
This record from Alexandria describes a crystal of Hg3Se2 relaxed with PBEsol. The functional is SCAN.

As for the theoretical density: 9.04 Mg/m³. The crystal system is orthorhombic. The value obtained for the total energy is -1.80182 hartree per atom. Its formation energy (no corrections) is -99 meV/atom.

Unit cell a=7.314 b=7.097 c=8.864 alpha=53.15 beta=50.94 gamma=75.91
Atoms (fractional coordinates):
Hg1 0.000 0.000 0.000
Hg2 0.250 0.250 0.250
Hg3 0.392 0.564 0.314
Hg4 0.521 0.936 0.686
Hg5 0.564 0.392 0.729
Hg6 0.936 0.521 0.858
Se1 0.420 0.772 0.556
Se2 0.694 0.997 0.830
Se3 0.772 0.420 0.253
Se4 0.997 0.694 0.478


[6]
This record from Alexandria describes a crystal of Hg3Se relaxed with PBEsol. The functional is SCAN.

As for the theoretical density: 10.81 Mg/m³. The crystal system is orthorhombic. The value obtained for the total energy is -2.06381 hartree per atom. Its formation energy (no corrections) is -15 meV/atom.

Unit cell a=6.087 b=11.945 c=5.751 alpha=90.00 beta=90.00 gamma=90.00
Atoms (fractional coordinates):
Hg1 0.010 0.250 0.246
Hg2 0.249 0.515 0.601
Hg3 0.249 0.985 0.601
Hg4 0.251 0.015 0.101
Hg5 0.251 0.485 0.101
Hg6 0.490 0.750 0.746
Hg7 0.510 0.250 0.254
Hg8 0.749 0.515 0.899
Hg9 0.749 0.985 0.899
Hg10 0.751 0.015 0.399
Hg11 0.751 0.485 0.399
Hg12 0.990 0.750 0.754
Se1 0.245 0.750 0.100
Se2 0.255 0.250 0.600
Se3 0.745 0.750 0.400
Se4 0.755 0.250 0.900


[7]
This record from Alexandria describes a crystal of Hg5Se relaxed with PBEsol. The functional is SCAN.

As for the theoretical density: 12.16 Mg/m³. The crystal system is monoclinic. The value obtained for the total energy is -2.21096 hartree per atom. Its formation energy (no corrections) is -12 meV/atom.

Unit cell a=6.363 b=6.363 c=6.951 alpha=119.43 beta=119.43 gamma=37.92
Atoms (fractional coordinates):
Hg1 0.000 0.000 0.000
Hg2 0.167 0.167 0.513
Hg3 0.336 0.336 0.027
Hg4 0.505 0.505 0.530
Hg5 0.830 0.830 0.498
Se1 0.668 0.668 0.014


[8]
This record from Alexandria describes a crystal of HgSe2 relaxed with PBEsol. The functional is SCAN.

As for the theoretical density: 8.65 Mg/m³. The crystal system is tetragonal. The value obtained for the energy above the lowest structure with this stoichiometry is 0.0000 eV per atom. The value obtained for the total energy is -1.32418 hartree per atom. Its formation energy (no corrections) is 75 meV/atom.

Unit cell a=5.699 b=5.699 c=5.699 alpha=116.04 beta=116.04 gamma=97.01
Atoms (fractional coordinates):
Hg1 0.250 0.250 0.000
Hg2 0.750 0.750 0.000
Se1 0.137 0.637 0.774
Se2 0.363 0.137 0.500
Se3 0.637 0.863 0.500
Se4 0.863 0.363 0.226


[9]
This record from Alexandria describes a crystal of Hg5Se relaxed with PBEsol. The functional is SCAN.

As for the theoretical density: 12.12 Mg/m³. The crystal system is orthorhombic. The value obtained for the total energy is -2.21023 hartree per atom. Its formation energy (no corrections) is 8 meV/atom.

Unit cell a=6.435 b=6.435 c=5.923 alpha=90.00 beta=90.00 gamma=142.81
Atoms (fractional coordinates):
Hg1 0.000 0.000 0.000
Hg2 0.334 0.666 0.000
Hg3 0.336 0.664 0.500
Hg4 0.664 0.336 0.500
Hg5 0.666 0.334 0.000
Se1 0.000 0.000 0.500


[10]
This record from Alexandria describes a crystal of HgSe3 relaxed with PBEsol. The functional is SCAN.

As for the theoretical density: 7.25 Mg/m³. The crystal system is orthorhombic. The value obtained for the total energy is -1.17321 hartree per atom. Its formation energy (no corrections) is 176 meV/atom.

Unit cell a=5.488 b=5.488 c=5.488 alpha=139.71 beta=99.66 gamma=93.99
Atoms (fractional coordinates):
Hg1 0.000 0.000 0.000
Se1 0.262 0.762 0.500
Se2 0.500 0.500 0.000
Se3 0.738 0.238 0.500


[11]
This record from Alexandria describes a crystal of HgSe3 relaxed with PBEsol. The functional is SCAN.

As for the theoretical density: 7.45 Mg/m³. The crystal system is orthorhombic. The value obtained for the total energy is -1.17231 hartree per atom. Its formation energy (no corrections) is 200 meV/atom.

Unit cell a=7.871 b=7.871 c=3.636 alpha=90.00 beta=90.00 gamma=120.04
Atoms (fractional coordinates):
Hg1 0.078 0.922 0.750
Hg2 0.922 0.078 0.250
Se1 0.107 0.483 0.250
Se2 0.427 0.573 0.750
Se3 0.483 0.107 0.750
Se4 0.517 0.893 0.250
Se5 0.573 0.427 0.250
Se6 0.893 0.517 0.750


[12]
This record from Alexandria describes a crystal of HgSe2 relaxed with PBEsol. The functional is SCAN.

As for the theoretical density: 6.44 Mg/m³. The crystal system is tetragonal. The value obtained for the energy above the lowest structure with this stoichiometry is 0.1325 eV per atom. The value obtained for the total energy is -1.31932 hartree per atom. Its formation energy (no corrections) is 207 meV/atom.

Unit cell a=7.672 b=7.672 c=7.672 alpha=153.09 beta=153.09 gamma=38.43
Atoms (fractional coordinates):
Hg1 0.000 0.000 0.000
Se1 0.227 0.227 0.000
Se2 0.773 0.773 0.000